VASP calculation (GGA-PBE) on a relaxed Ac6SiTe3Se2 crystal.

The structure in POSCAR format:
```
Ac6SiTe3Se2
1.0
-0.603 7.296 3.069
2.383 -6.040 4.566
6.751 1.008 -4.482
Ac Te Se Si
6 3 2 1
direct
0.601 0.926 0.777
0.249 0.249 0.775
0.751 0.751 0.225
0.074 0.399 0.223
0.399 0.074 0.223
0.926 0.601 0.777
0.831 0.169 0.500
0.500 0.500 0.500
0.169 0.831 0.500
0.334 0.666 0.000
0.666 0.334 0.000
0.000 0.000 0.000
```

Values from the calculation:
The value obtained for the total energy is -5.4040 eV/atom. The formation energy from raw total energies is -1.53 eV/atom. Its crystal system is monoclinic.

VASP calculation (GGA-PBE) on a relaxed AcSmSe crystal.

The structure in POSCAR format:
```
AcSmSe
1.0
3.807 0.000 0.000
0.000 7.538 0.306
-1.903 -2.219 6.606
Ac Se Sm
2 2 2
direct
0.858 0.920 0.717
0.142 0.080 0.283
0.499 0.265 0.998
0.501 0.735 0.002
0.133 0.565 0.267
0.867 0.435 0.733
```

Values from the calculation:
The value obtained for the total energy is -5.0331 eV/atom. The formation energy from raw total energies is -0.93 eV/atom. Its crystal system is monoclinic.

VASP calculation (GGA-PBE) on a relaxed Ac2SmSe4 crystal.

The structure in POSCAR format:
```
Ac2SmSe4
1.0
4.187 0.000 0.000
-2.094 7.394 0.000
0.000 0.000 14.498
Ac Se Sm
4 8 2
direct
0.131 0.262 0.425
0.869 0.738 0.925
0.131 0.262 0.075
0.869 0.738 0.575
0.987 0.973 0.750
0.218 0.436 0.873
0.218 0.436 0.627
0.013 0.027 0.250
0.782 0.564 0.373
0.500 0.000 0.500
0.782 0.564 0.127
0.500 0.000 0.000
0.371 0.743 0.250
0.629 0.257 0.750
```

Values from the calculation:
The value obtained for the total energy is -5.7036 eV/atom. The formation energy from raw total energies is -1.86 eV/atom. Its crystal system is orthorhombic.

VASP calculation (GGA-PBE) on a relaxed AcSmSe crystal.

The structure in POSCAR format:
```
AcSmSe
1.0
7.022 0.000 0.000
0.000 4.128 0.000
0.000 -2.064 3.575
Ac Se Sm
1 1 1
direct
0.718 0.667 0.333
0.016 0.000 0.000
0.266 0.333 0.667
```

Values from the calculation:
The value obtained for the total energy is -5.1696 eV/atom. The formation energy from raw total energies is -1.07 eV/atom. Its crystal system is trigonal.

VASP calculation (GGA-PBE) on a relaxed AcSmSe3 crystal.

The structure in POSCAR format:
```
AcSmSe3
1.0
4.358 0.000 0.000
0.000 7.991 0.000
0.000 0.000 16.560
Se Sm Ac
12 4 4
direct
0.250 0.874 0.941
0.250 0.652 0.714
0.250 0.152 0.786
0.750 0.126 0.059
0.750 0.348 0.286
0.250 0.011 0.396
0.250 0.511 0.104
0.750 0.489 0.896
0.750 0.848 0.214
0.750 0.626 0.441
0.750 0.989 0.604
0.250 0.374 0.559
0.750 0.729 0.043
0.250 0.271 0.957
0.750 0.229 0.457
0.250 0.771 0.543
0.750 0.359 0.699
0.250 0.141 0.199
0.250 0.641 0.301
0.750 0.859 0.801
```

Values from the calculation:
The value obtained for the total energy is -5.8290 eV/atom. The formation energy from raw total energies is -1.97 eV/atom. Its crystal system is orthorhombic.

VASP calculation (GGA-PBE) on a relaxed Ac2SmSe3 crystal.

The structure in POSCAR format:
```
Ac2SmSe3
1.0
7.469 0.067 -1.392
-2.827 6.914 -1.392
-0.060 -0.090 13.689
Sm Se Ac
4 12 8
direct
0.083 0.083 0.167
0.917 0.917 0.833
0.333 0.833 0.667
0.167 0.667 0.333
0.017 0.517 0.500
0.085 0.072 0.672
0.233 0.233 0.000
0.165 0.678 0.828
0.483 0.983 0.500
0.399 0.413 0.328
0.767 0.767 0.000
0.663 0.149 0.828
0.322 0.835 0.172
0.587 0.601 0.672
0.851 0.337 0.172
0.928 0.915 0.328
0.502 0.002 0.003
0.998 0.498 0.997
0.581 0.581 0.163
0.252 0.252 0.503
0.669 0.169 0.337
0.748 0.748 0.497
0.831 0.331 0.663
0.419 0.419 0.837
```

Values from the calculation:
The value obtained for the total energy is -5.7369 eV/atom. The formation energy from raw total energies is -1.84 eV/atom. Its crystal system is orthorhombic.

VASP calculation (GGA-PBE) on a relaxed Ac5Sm3Se8 crystal.

The structure in POSCAR format:
```
Ac5Sm3Se8
1.0
7.549 0.000 4.324
2.536 7.110 4.324
0.008 0.006 8.737
Se Sm Ac
8 3 5
direct
0.757 0.757 0.730
0.764 0.250 0.736
0.243 0.243 0.270
0.250 0.250 0.736
0.750 0.750 0.264
0.750 0.236 0.264
0.236 0.750 0.264
0.250 0.764 0.736
0.500 0.000 0.500
0.000 0.500 0.500
0.000 0.000 0.500
0.000 0.000 0.000
0.500 0.500 0.000
0.500 0.000 0.000
0.000 0.500 0.000
0.500 0.500 0.500
```

Values from the calculation:
The value obtained for the total energy is -5.7417 eV/atom. The formation energy from raw total energies is -1.83 eV/atom. Its crystal system is trigonal.

VASP calculation (GGA-PBE) on a relaxed Ac3SmSe4 crystal.

The structure in POSCAR format:
```
Ac3SmSe4
1.0
-3.396 -2.164 -6.467
4.631 -5.609 2.423
-6.563 -3.434 4.595
Sm Se Ac
2 8 6
direct
0.250 0.000 0.124
0.750 0.000 0.876
0.500 0.763 0.118
0.008 0.758 0.368
0.000 0.763 0.882
0.500 0.237 0.882
0.000 0.237 0.118
0.992 0.242 0.632
0.508 0.758 0.632
0.492 0.242 0.368
0.750 0.000 0.373
0.250 0.500 0.374
0.250 0.000 0.627
0.750 0.500 0.626
0.750 0.500 0.125
0.250 0.500 0.875
```

Values from the calculation:
The value obtained for the total energy is -5.7138 eV/atom. The formation energy from raw total energies is -1.84 eV/atom. Its crystal system is monoclinic.

no.,volume (Å³/cell)
1,421.79
2,192.15
3,448.85
4,103.65
5,576.67
6,707.61
7,468.62
8,480.66